#P
The following is a DFT calculation (GGA-PBE) of crystalline Y2Tm4Sc3 at its relaxed geometry.

abc: 9.933 9.933 5.656
angles: 95.88 95.88 68.55
Fractional positions:
1 Y 0.124 0.340 0.374
2 Y 0.340 0.124 0.874
3 Y 0.660 0.876 0.126
4 Y 0.876 0.660 0.626
5 Tm 0.005 0.791 0.210
6 Tm 0.209 0.995 0.290
7 Tm 0.329 0.545 0.459
8 Tm 0.455 0.671 0.041
9 Tm 0.545 0.329 0.959
10 Tm 0.671 0.455 0.541
11 Tm 0.791 0.005 0.710
12 Tm 0.995 0.209 0.790
13 Sc 0.152 0.848 0.750
14 Sc 0.185 0.490 0.918
15 Sc 0.490 0.185 0.418
16 Sc 0.510 0.815 0.582
17 Sc 0.815 0.510 0.082
18 Sc 0.848 0.152 0.250

Results
- Space group: C2/c (15)
- N(E_F): 1.511 states/eV/atom


#Q
The following is a DFT calculation (GGA-PBE) of crystalline Y2Tm4Sc3 at its relaxed geometry.

abc: 9.590 9.590 6.502
angles: 92.53 92.53 60.25
Fractional positions:
1 Y 0.064 0.311 0.417
2 Y 0.311 0.064 0.917
3 Y 0.689 0.936 0.083
4 Y 0.936 0.689 0.583
5 Tm 0.056 0.628 0.094
6 Tm 0.306 0.650 0.492
7 Tm 0.350 0.694 0.008
8 Tm 0.372 0.944 0.406
9 Tm 0.628 0.056 0.594
10 Tm 0.650 0.306 0.992
11 Tm 0.694 0.350 0.508
12 Tm 0.944 0.372 0.906
13 Sc 0.010 0.990 0.750
14 Sc 0.305 0.385 0.757
15 Sc 0.385 0.305 0.257
16 Sc 0.615 0.695 0.743
17 Sc 0.695 0.615 0.243
18 Sc 0.990 0.010 0.250

Results
- Space group: C2/c (15)
- N(E_F): 1.209 states/eV/atom


Which of them is the most stable? Correct choice: #Q.


#P
The following is a DFT calculation (GGA-PBE) of crystalline YTm3Sc3 at its relaxed geometry.

abc: 9.087 9.087 9.087
angles: 51.48 51.48 51.48
Fractional positions:
1 Y 0.187 0.187 0.187
2 Y 0.813 0.813 0.813
3 Tm 0.219 0.396 0.705
4 Tm 0.295 0.781 0.604
5 Tm 0.396 0.705 0.219
6 Tm 0.604 0.295 0.781
7 Tm 0.705 0.219 0.396
8 Tm 0.781 0.604 0.295
9 Sc 0.088 0.264 0.551
10 Sc 0.264 0.551 0.088
11 Sc 0.449 0.912 0.736
12 Sc 0.551 0.088 0.264
13 Sc 0.736 0.449 0.912
14 Sc 0.912 0.736 0.449

Results
- Space group: R-3 (148)
- N(E_F): 1.986 states/eV/atom


#Q
The following is a DFT calculation (GGA-PBE) of crystalline YTm3Sc3 at its relaxed geometry.

abc: 9.175 9.175 5.404
angles: 90.00 90.00 120.00
Fractional positions:
1 Y 0.333 0.667 0.250
2 Y 0.667 0.333 0.750
3 Tm 0.045 0.803 0.250
4 Tm 0.197 0.242 0.250
5 Tm 0.242 0.045 0.750
6 Tm 0.758 0.955 0.250
7 Tm 0.803 0.758 0.750
8 Tm 0.955 0.197 0.750
9 Sc 0.094 0.615 0.750
10 Sc 0.385 0.479 0.750
11 Sc 0.479 0.094 0.250
12 Sc 0.521 0.906 0.750
13 Sc 0.615 0.521 0.250
14 Sc 0.906 0.385 0.250

Results
- Space group: P6_3/m (176)
- N(E_F): 1.968 states/eV/atom


Which of them is the most stable? Correct choice: #Q.


#P
The following is a DFT calculation (GGA-PBE) of crystalline Y4Tm5Sc2 at its relaxed geometry.

abc: 10.956 10.956 8.845
angles: 106.51 106.51 18.99
Fractional positions:
1 Y 0.067 0.067 0.431
2 Y 0.350 0.350 0.824
3 Y 0.650 0.650 0.176
4 Y 0.933 0.933 0.569
5 Tm 0.000 0.000 0.000
6 Tm 0.194 0.194 0.879
7 Tm 0.293 0.293 0.417
8 Tm 0.707 0.707 0.583
9 Tm 0.806 0.806 0.121
10 Sc 0.434 0.434 0.238
11 Sc 0.566 0.566 0.762

Results
- Space group: C2/m (12)
- N(E_F): 1.501 states/eV/atom


#Q
The following is a DFT calculation (GGA-PBE) of crystalline Y4Tm5Sc2 at its relaxed geometry.

abc: 10.772 10.772 10.772
angles: 161.72 117.23 65.97
Fractional positions:
1 Y 0.093 0.093 0.000
2 Y 0.231 0.500 0.731
3 Y 0.769 0.500 0.269
4 Y 0.907 0.907 0.000
5 Tm 0.030 0.320 0.711
6 Tm 0.391 0.680 0.711
7 Tm 0.500 0.000 0.500
8 Tm 0.609 0.320 0.289
9 Tm 0.970 0.680 0.289
10 Sc 0.288 0.288 0.000
11 Sc 0.712 0.712 0.000

Results
- Space group: Immm (71)
- N(E_F): 1.377 states/eV/atom


Which of them is the most stable? Correct choice: #P.